1.
## BaSi2 (PBE-GGA)

Data for BaSi2 after structural relaxation. Values from VASP.

Computed properties:
As for the uncorrected formation energy: 0.426 eV per atom. The calculation puts the density at 3.99 Mg/m³. As for the space-group type: P6_3/mmc, No. 194. The value obtained for the total DFT energy (no corrections) is -0.1408 Ha/atom.

Cell and atoms, written as Quantum ESPRESSO input:
```
&SYSTEM
  ibrav = 0, nat = 6, ntyp = 2
/
ATOMIC_SPECIES
Ba 137.33 Ba.upf
Si 28.09 Si.upf
CELL_PARAMETERS angstrom
2.663 -4.612 0.000
2.663 4.612 0.000
0.000 0.000 6.552
ATOMIC_POSITIONS crystal
Ba 0.667 0.333 0.250
Ba 0.333 0.667 0.750
Si 0.000 0.000 0.000
Si 0.000 0.000 0.500
Si 0.333 0.667 0.250
Si 0.667 0.333 0.750
```

2.
## Ba3Si (PBE-GGA)

Data for Ba3Si after structural relaxation. Values from VASP.

Computed properties:
As for the uncorrected formation energy: 0.021 eV per atom. The calculation puts the density at 3.90 Mg/m³. As for the space-group type: P2/m, No. 10. The value obtained for the total DFT energy (no corrections) is -0.1020 Ha/atom. The calculation puts the energy relative to the lowest polymorph listed for this composition at 199 meV/atom.

Cell and atoms, written as Quantum ESPRESSO input:
```
&SYSTEM
  ibrav = 0, nat = 4, ntyp = 2
/
ATOMIC_SPECIES
Ba 137.33 Ba.upf
Si 28.09 Si.upf
CELL_PARAMETERS angstrom
5.087 0.000 0.000
0.000 5.093 -0.028
0.000 3.321 7.220
ATOMIC_POSITIONS crystal
Ba 0.500 0.750 0.750
Ba 0.000 0.092 0.047
Ba 0.000 0.408 0.453
Si 0.500 0.250 0.250
```

3.
## Ba3Si4 (PBE-GGA)

Data for Ba3Si4 after structural relaxation. Values from VASP.

Computed properties:
As for the uncorrected formation energy: 0.315 eV per atom. The calculation puts the density at 3.36 Mg/m³. As for the space-group type: P6/mmm, No. 191. The value obtained for the total DFT energy (no corrections) is -0.1326 Ha/atom. The calculation puts the energy relative to the lowest polymorph listed for this composition at 723 meV/atom.

Cell and atoms, written as Quantum ESPRESSO input:
```
&SYSTEM
  ibrav = 0, nat = 7, ntyp = 2
/
ATOMIC_SPECIES
Si 28.09 Si.upf
Ba 137.33 Ba.upf
CELL_PARAMETERS angstrom
4.001 -6.931 0.000
4.001 6.931 0.000
0.000 0.000 4.679
ATOMIC_POSITIONS crystal
Si 0.000 0.000 0.762
Ba 0.500 0.000 0.000
Si 0.333 0.667 0.500
Ba 0.500 0.500 0.000
Ba 0.000 0.500 0.000
Si 0.000 0.000 0.238
Si 0.667 0.333 0.500
```

4.
## Ba2Si (PBE-GGA)

Data for Ba2Si after structural relaxation. Values from VASP.

Computed properties:
As for the uncorrected formation energy: -0.159 eV per atom. The calculation puts the density at 3.81 Mg/m³. As for the space-group type: Immm, No. 71. The value obtained for the total DFT energy (no corrections) is -0.1194 Ha/atom.

Cell and atoms, written as Quantum ESPRESSO input:
```
&SYSTEM
  ibrav = 0, nat = 6, ntyp = 2
/
ATOMIC_SPECIES
Ba 137.33 Ba.upf
Si 28.09 Si.upf
CELL_PARAMETERS angstrom
-1.827 -8.179 -1.319
2.039 -7.826 -2.566
2.522 -3.668 6.779
ATOMIC_POSITIONS crystal
Ba 0.615 0.615 0.943
Si 0.000 0.000 0.250
Ba 0.385 0.385 0.057
Si 0.000 0.000 0.750
Ba 0.385 0.385 0.558
Ba 0.615 0.615 0.442
```

Question: Which of these has the lowest uncorrected formation energy?
Answer: Ba2Si

Question: Among the records above, which one has the highest total DFT energy (no corrections)?
Answer: Ba3Si

Question: The lowest total DFT energy (no corrections) belongs to which entry?
Answer: BaSi2